Entry i
Density functional theory data (PBE+U) for an optimized crystal structure of BeNiNF2.

a b c (Å): 3.733 3.733 4.011
angles (deg): 90.00 90.00 90.00
Fractional positions:
Be 0.000 0.000 0.000
Ni 0.500 0.500 0.500
N 0.500 0.500 0.000
F 0.000 0.500 0.500
F 0.500 0.000 0.500

spin magnetization: 2.038 Bohr magnetons per cell
DOS at the Fermi energy: 1.74 states/eV per cell


Entry ii
Density functional theory data (PBE+U) for an optimized crystal structure of BeNiNF2.

a b c (Å): 3.095 3.095 5.662
angles (deg): 90.00 90.00 90.00
Fractional positions:
Be 0.000 0.000 0.000
Ni 0.500 0.500 0.500
N 0.000 0.000 0.500
F 0.000 0.500 0.000
F 0.500 0.000 0.000

spin magnetization: 2.669 Bohr magnetons per cell
DOS at the Fermi energy: 1.02 states/eV per cell


Of them, entry i has the lowest stability.